Entry 1:
{"formula": "In2HgSe", "functional": "PBE", "state": "optimized geometry", "final_energy_ev_per_atom": -2.4849, "volume_a3_per_atom": 26.49, "polymorph_energy_mev_per_atom": 81, "e_form_raw_ev_per_atom": -0.169, "sg": "P4/mmm", "lattice": [[3.702, 0.000, 0.000], [0.000, 3.702, 0.000], [0.000, 0.000, 7.731]], "species": ["Hg", "Se", "In", "In"], "frac_coords": [[0.500, 0.500, 0.750], [0.500, 0.500, 0.250], [0.000, 0.000, 0.027], [0.000, 0.000, 0.473]]}

---

Entry 2:
{"formula": "TaMoW2", "functional": "PBE", "state": "optimized geometry", "formation_enthalpy_0k_mev_per_atom": -115, "final_energy_ev_per_atom": -12.2623, "volume_a3_per_atom": 16.44, "polymorph_energy_mev_per_atom": 17, "sg": "F-43m", "lattice": [[-1.304, -3.097, -3.039], [2.145, -0.313, -3.978], [2.646, -3.573, -0.872]], "species": ["Mo", "W", "W", "Ta"], "frac_coords": [[0.500, 0.500, 0.500], [0.000, 0.000, 0.000], [0.250, 0.250, 0.250], [0.750, 0.750, 0.750]]}

---

Entry 3:
{"formula": "Ca7HfN6", "functional": "PBE", "state": "optimized geometry", "final_energy_ev_per_atom": -6.2638, "volume_a3_per_atom": 17.51, "e_form_raw_ev_per_atom": -0.984, "sg": "Ibam", "lattice": [[6.387, 0.000, 0.000], [3.193, 8.785, 0.000], [3.193, 0.906, 8.738]], "species": ["Ca", "Ca", "Ca", "Ca", "Ca", "Ca", "Ca", "Ca", "Ca", "Ca", "Ca", "Ca", "Ca", "Ca", "Hf", "Hf", "N", "N", "N", "N", "N", "N", "N", "N", "N", "N", "N", "N"], "frac_coords": [[0.280, 0.958, 0.042], [0.720, 0.042, 0.958], [0.220, 0.458, 0.542], [0.780, 0.542, 0.458], [0.737, 0.151, 0.606], [0.506, 0.606, 0.151], [0.763, 0.894, 0.349], [0.994, 0.349, 0.894], [0.263, 0.849, 0.394], [0.494, 0.394, 0.849], [0.237, 0.106, 0.651], [0.006, 0.651, 0.106], [0.250, 0.250, 0.250], [0.750, 0.750, 0.750], [0.750, 0.250, 0.250], [0.250, 0.750, 0.750], [0.026, 0.064, 0.279], [0.631, 0.279, 0.064], [0.474, 0.221, 0.436], [0.869, 0.436, 0.221], [0.974, 0.936, 0.721], [0.369, 0.721, 0.936], [0.526, 0.779, 0.564], [0.131, 0.564, 0.779], [0.881, 0.343, 0.657], [0.119, 0.657, 0.343], [0.619, 0.843, 0.157], [0.381, 0.157, 0.843]]}